Entry from Alexandria via LeMat-Bulk: an optimized crystal structure of Ti2Al5Cu2Pd (PBE-GGA).

Values from the calculation:
The value obtained for the total energy is -103.327 eV per cell. The calculation puts the magnetization at 0.00 μB per atom. Its space group is No. 127. The value obtained for the density of states at the Fermi level is 9.88 states/eV per cell.

```
data_Ti2Al5Cu2Pd
_symmetry_space_group_name_H-M 'P 1'
_symmetry_Int_Tables_number 1
_symmetry_space_group_name_Hall 'P 1'
_cell_length_a 3.7791
_cell_length_b 8.9393
_cell_length_c 8.9393
_cell_angle_alpha 90.00
_cell_angle_beta 90.00
_cell_angle_gamma 90.00
loop_
_atom_site_label
_atom_site_type_symbol
_atom_site_fract_x
_atom_site_fract_y
_atom_site_fract_z
Ti1 Ti 0.0000 0.8208 0.6792
Ti2 Ti 0.0000 0.6792 0.1792
Ti3 Ti 0.0000 0.3208 0.8208
Ti4 Ti 0.0000 0.1792 0.3208
Al1 Al 0.5000 0.2044 0.0650
Al2 Al 0.5000 0.0000 0.5000
Al3 Al 0.5000 0.4350 0.2956
Al4 Al 0.5000 0.5000 0.0000
Al5 Al 0.5000 0.9350 0.2044
Al6 Al 0.5000 0.2956 0.5650
Al7 Al 0.5000 0.7044 0.4350
Al8 Al 0.5000 0.0650 0.7956
Al9 Al 0.5000 0.7956 0.9350
Al10 Al 0.5000 0.5650 0.7044
Cu1 Cu 0.0000 0.3836 0.1164
Cu2 Cu 0.0000 0.1164 0.6164
Cu3 Cu 0.0000 0.6164 0.8836
Cu4 Cu 0.0000 0.8836 0.3836
Pd1 Pd 0.0000 0.5000 0.5000
Pd2 Pd 0.0000 0.0000 0.0000
```